[1]
Cr2SiAu GGA-PBE optimized geometry; size of the total moment = 0.25 μB per atom; formation energy without anion corrections = 0.22 eV/atom
1.0
-0.394 2.722 -3.359
-3.823 0.424 -2.014
-2.287 3.665 0.432
Au Cr Si
1 2 1
direct
0.500 0.500 0.500
0.000 0.000 0.000
0.250 0.250 0.250
0.750 0.750 0.750

---

[2]
Nd2VSi GGA-PBE optimized geometry; size of the total moment = 0.78 μB per atom; formation energy without anion corrections = 0.55 eV/atom
1.0
-0.714 -1.368 -3.117
2.136 -2.366 -1.392
-4.833 -8.667 2.972
Si Nd V
1 2 1
direct
0.500 0.500 0.500
0.095 0.095 0.716
0.905 0.905 0.284
0.000 0.000 0.000